Compound: Nd3Ge5Se12
Source: Alexandria via LeMat-Bulk
Functional: PBE
Structure: relaxed

Cell lengths 14.1174, 14.1174, 14.1174 Å; angles 109.47, 109.47, 109.47 degrees
Last column: nearest neighbours and their distance in Å.
Element x y z (fractional)
Nd1 0.1250 0.2500 0.3750  8 Se 3.09-3.14
Nd2 0.1250 0.3750 0.7500  8 Se 3.09-3.14
Nd3 0.2500 0.3750 0.1250  8 Se 3.09-3.14
Nd4 0.2500 0.8750 0.6250  8 Se 3.09-3.14
Nd5 0.3750 0.1250 0.2500  8 Se 3.09-3.14
Nd6 0.3750 0.7500 0.1250  8 Se 3.09-3.14
Nd7 0.6250 0.2500 0.8750  8 Se 3.09-3.14
Nd8 0.6250 0.8750 0.7500  8 Se 3.09-3.14
Nd9 0.7500 0.1250 0.3750  8 Se 3.09-3.14
Nd10 0.7500 0.6250 0.8750  8 Se 3.09-3.14
Nd11 0.8750 0.6250 0.2500  8 Se 3.09-3.14
Nd12 0.8750 0.7500 0.6250  8 Se 3.09-3.14
Ge1 0.0000 0.0000 0.0000  6 Se 2.73
Ge2 0.0000 0.0000 0.5000  6 Se 2.73
Ge3 0.0000 0.5000 0.0000  6 Se 2.73
Ge4 0.0000 0.5000 0.5000  6 Se 2.73
Ge5 0.1250 0.7500 0.8750  4 Se 2.46
Ge6 0.1250 0.8750 0.2500  4 Se 2.46
Ge7 0.2500 0.1250 0.8750  4 Se 2.46
Ge8 0.2500 0.6250 0.3750  4 Se 2.46
Ge9 0.3750 0.2500 0.6250  4 Se 2.46
Ge10 0.3750 0.6250 0.7500  4 Se 2.46
Ge11 0.5000 0.0000 0.0000  6 Se 2.73
Ge12 0.5000 0.0000 0.5000  6 Se 2.73
Ge13 0.5000 0.5000 0.0000  6 Se 2.73
Ge14 0.5000 0.5000 0.5000  6 Se 2.73
Ge15 0.6250 0.3750 0.2500  4 Se 2.46
Ge16 0.6250 0.7500 0.3750  4 Se 2.46
Ge17 0.7500 0.3750 0.6250  4 Se 2.46
Ge18 0.7500 0.8750 0.1250  4 Se 2.46
Ge19 0.8750 0.1250 0.7500  4 Se 2.46
Ge20 0.8750 0.2500 0.1250  4 Se 2.46
Se1 0.0348 0.2150 0.1273  2 Ge 2.46-2.73
Se2 0.0348 0.3198 0.9075  2 Ge 2.46-2.73
Se3 0.0877 0.7150 0.6802  2 Ge 2.46-2.73
Se4 0.0877 0.8727 0.4075  2 Ge 2.46-2.73
Se5 0.0925 0.6273 0.4123  2 Ge 2.46-2.73
Se6 0.0925 0.9652 0.6802  2 Ge 2.46-2.73
Se7 0.1273 0.0348 0.2150  2 Ge 2.46-2.73
Se8 0.1273 0.5925 0.9123  2 Ge 2.46-2.73
Se9 0.1802 0.2150 0.5877  2 Ge 2.46-2.73
Se10 0.1802 0.4652 0.5925  2 Ge 2.46-2.73
Se11 0.2150 0.1273 0.0348  2 Ge 2.46-2.73
Se12 0.2150 0.5877 0.1802  2 Ge 2.46-2.73
Se13 0.2850 0.3198 0.9123  2 Ge 2.46-2.73
Se14 0.2850 0.4652 0.3727  2 Ge 2.46-2.73
Se15 0.3198 0.9075 0.0348  2 Ge 2.46-2.73
Se16 0.3198 0.9123 0.2850  2 Ge 2.46-2.73
Se17 0.3727 0.2850 0.4652  2 Ge 2.46-2.73
Se18 0.3727 0.5877 0.9075  2 Ge 2.46-2.73
Se19 0.4075 0.0877 0.8727  2 Ge 2.46-2.73
Se20 0.4075 0.8198 0.5348  2 Ge 2.46-2.73
Se21 0.4123 0.0925 0.6273  2 Ge 2.46-2.73
Se22 0.4123 0.8198 0.7850  2 Ge 2.46-2.73
Se23 0.4652 0.3727 0.2850  2 Ge 2.46-2.73
Se24 0.4652 0.5925 0.1802  2 Ge 2.46-2.73
Se25 0.5348 0.4075 0.8198  2 Ge 2.46-2.73
Se26 0.5348 0.6273 0.7150  2 Ge 2.46-2.73
Se27 0.5877 0.1802 0.2150  2 Ge 2.46-2.73
Se28 0.5877 0.9075 0.3727  2 Ge 2.46-2.73
Se29 0.5925 0.1802 0.4652  2 Ge 2.46-2.73
Se30 0.5925 0.9123 0.1273  2 Ge 2.46-2.73
Se31 0.6273 0.4123 0.0925  2 Ge 2.46-2.73
Se32 0.6273 0.7150 0.5348  2 Ge 2.46-2.73
Se33 0.6802 0.0877 0.7150  2 Ge 2.46-2.73
Se34 0.6802 0.0925 0.9652  2 Ge 2.46-2.73
Se35 0.7150 0.5348 0.6273  2 Ge 2.46-2.73
Se36 0.7150 0.6802 0.0877  2 Ge 2.46-2.73
Se37 0.7850 0.4123 0.8198  2 Ge 2.46-2.73
Se38 0.7850 0.8727 0.9652  2 Ge 2.46-2.73
Se39 0.8198 0.5348 0.4075  2 Ge 2.46-2.73
Se40 0.8198 0.7850 0.4123  2 Ge 2.46-2.73
Se41 0.8727 0.4075 0.0877  2 Ge 2.46-2.73
Se42 0.8727 0.9652 0.7850  2 Ge 2.46-2.73
Se43 0.9075 0.0348 0.3198  2 Ge 2.46-2.73
Se44 0.9075 0.3727 0.5877  2 Ge 2.46-2.73
Se45 0.9123 0.1273 0.5925  2 Ge 2.46-2.73
Se46 0.9123 0.2850 0.3198  2 Ge 2.46-2.73
Se47 0.9652 0.6802 0.0925  2 Ge 2.46-2.73
Se48 0.9652 0.7850 0.8727  2 Ge 2.46-2.73

## Properties
Symmetry: Ia-3d, No. 230
Magnetization, μB per formula unit: 0.00
Energy relative to the elements, uncorrected, eV/atom: -0.817
Density of states at the Fermi level, states/eV per cell: 15.857